1.
The following is a PBE calculation of a relaxed AgMo2Ir crystal, from Alexandria.

Properties
SG ... No. 25

Cell: 2.749 4.023 5.769 Å, 90.00 90.00 90.00°
Atoms (fractional coordinates):
Ir1 0.500 0.500 0.775
Ag1 0.000 0.000 0.501
Mo1 0.000 0.000 0.985
Mo2 0.500 0.500 0.240

=====

2.
The following is a PBE calculation of a relaxed AgMo2Ir crystal, from Alexandria.

Properties
SG ... No. 166

Cell: 9.590 9.590 9.590 Å, 16.73 16.73 16.73°
Atoms (fractional coordinates):
Ag1 0.250 0.250 0.250
Mo1 0.495 0.495 0.495
Mo2 0.005 0.005 0.005
Ir1 0.750 0.750 0.750

=====

3.
The following is a PBE calculation of a relaxed Ag2MoIr crystal, from Alexandria.

Properties
SG ... No. 65

Cell: 2.722 2.722 9.866 Å, 90.00 90.00 115.92°
Atoms (fractional coordinates):
Ir1 0.500 0.500 0.250
Ag1 0.000 0.000 0.003
Ag2 0.000 0.000 0.497
Mo1 0.500 0.500 0.750

=====

4.
The following is a PBE calculation of a relaxed Ag3MoIr crystal, from Alexandria.

Properties
SG ... No. 221

Cell: 4.908 4.908 4.908 Å, 90.00 90.00 90.00°
Atoms (fractional coordinates):
Ag1 0.000 0.500 0.000
Ag2 0.500 0.000 0.000
Ag3 0.000 0.000 0.500
Mo1 0.000 0.000 0.000
Ir1 0.500 0.500 0.500

=====

| no. | calculated volume (Å³ per atom) | relative energy among the computed polymorphs (eV per atom) |
| --- | --- | --- |
| 1 | 15.950 | 0.105 |
| 2 | 15.932 | 0.061 |
| 3 | 16.436 | 0.372 |
| 4 | 23.645 | 0.586 |